Here is crystalline BaTl2MoF8 at its relaxed geometry from Alexandria via LeMat-Bulk. Energies are from GGA+U.

a b c (Å): 4.6146 6.5088 8.0360
angles (deg): 89.86 89.45 94.47
With the nearest neighbours (Å) after each atom.
Positions (direct):
F 0.1098 0.8207 0.8104  1 Mo 2.01
Mo 0.0000 0.0000 0.0000  6 F 1.97-2.07
F 0.6323 0.8256 0.0027  1 Mo 1.97
F 0.0921 0.8110 0.1976  1 Mo 2.07
F 0.9079 0.1890 0.8024  1 Mo 2.07
Ba 0.0000 0.0000 0.5000  8 F 2.65-2.90
F 0.5063 0.7628 0.4995  2 Tl 2.62-2.72, 2 Ba 2.65-2.90
F 0.8902 0.1793 0.1896  1 Mo 2.01
Tl 0.4950 0.5120 0.2449  4 F 2.62-2.85
Tl 0.5050 0.4880 0.7551  4 F 2.62-2.85
F 0.4937 0.2372 0.5005  2 Tl 2.62-2.72, 2 Ba 2.65-2.90
F 0.3677 0.1744 0.9973  1 Mo 1.97

Computed properties:
- Space group: P-1 (2)
- Energy: -5.0235 eV per atom
- Density of states at the Fermi level: 0.000 states/eV per atom